[1]
## BaTaIn2S (GGA-PBE)

Data for a relaxed structure of BaTaIn2S.

Cell lengths 5.8973, 4.7321, 5.8973 Å; angles 90.00, 90.00, 90.00 degrees
Last column: magnetic moment on the atom in μB.
Sites, in units of the cell vectors:
1 Ta 0.0000 0.5000 0.0000  0.70
2 In 0.5000 0.0000 0.0000  -0.04
3 Ba 0.5000 0.5000 0.5000  -0.03
4 S 0.0000 0.0000 0.0000  -0.03
5 In 0.0000 0.0000 0.5000  -0.03

Values from the calculation:
**E_tot**: -4.43 eV per atom
**Total magnetic moment**: 0.81 μB per cell
**DOS(E_F)**: 0.8832 states/eV/atom
**Formation energy without anion corrections**: 0.25 eV/atom
**SG**: No. 123

[2]
## LiEuGa (GGA-PBE)

Data for a relaxed structure of LiEuGa.

Cell lengths 3.6928, 3.6928, 5.9012 Å; angles 108.23, 108.23, 90.00 degrees
Last column: magnetic moment on the atom in μB.
Sites, in units of the cell vectors:
1 Ga 0.2586 0.2586 0.5172  -0.03
2 Li 0.6496 0.6496 0.2992  0.01
3 Eu 0.9418 0.9418 0.8836  6.88

Values from the calculation:
**E_tot**: -5.30 eV per atom
**Total magnetic moment**: 7.10 μB per cell
**ΔE to the lowest computed polymorph**: 0.0358 eV/atom
**DOS(E_F)**: 2.3179 states/eV/atom
**SG**: No. 107
**Formation enthalpy at 0 K**: -0.23 eV/atom

[3]
## DyAl2Zn6 (GGA-PBE)

Data for a relaxed structure of DyAl2Zn6.

Cell lengths 3.6642, 7.1579, 7.3865 Å; angles 118.98, 104.36, 90.00 degrees
Sites, in units of the cell vectors:
1 Zn 0.5000 0.1725 0.0000
2 Zn 0.3161 0.1343 0.6322
3 Zn 0.5000 0.8275 0.0000
4 Dy 0.0000 0.5000 0.0000
5 Zn 0.6839 0.5021 0.3678
6 Al 0.1246 0.1246 0.2492
7 Zn 0.6839 0.8657 0.3678
8 Al 0.8754 0.8754 0.7508
9 Zn 0.3161 0.4979 0.6322

Values from the calculation:
**E_tot**: -2.27 eV per atom
**Total magnetic moment**: 0.00 μB per cell
**ΔE to the lowest computed polymorph**: 0.0000 eV/atom
**DOS(E_F)**: 0.3015 states/eV/atom
**SG**: No. 71
**Formation enthalpy at 0 K**: -0.07 eV/atom

[4]
## DyPuAl (GGA-PBE)

Data for a relaxed structure of DyPuAl.

Cell lengths 3.2951, 3.2951, 7.2685 Å; angles 103.10, 103.10, 90.00 degrees
Last column: magnetic moment on the atom in μB.
Sites, in units of the cell vectors:
1 Dy 0.9351 0.9351 0.8701  -0.03
2 Al 0.2831 0.2831 0.5662  -0.02
3 Pu 0.6319 0.6319 0.2637  5.41

Values from the calculation:
**E_tot**: -7.65 eV per atom
**Total magnetic moment**: 5.65 μB per cell
**ΔE to the lowest computed polymorph**: 0.0000 eV/atom
**DOS(E_F)**: 2.5667 states/eV/atom
**SG**: No. 107
**Formation enthalpy at 0 K**: -0.09 eV/atom